Here is crystalline NbFeO2F at its relaxed geometry from Alexandria via LeMat-Bulk. Energies are from PBE+U.

Properties
Theoretical density = 5.91 g/cm3
Uncorrected energy = -30.36 eV per cell
D(E_F) = 0.990 states/eV per atom
Crystal system = tetragonal

a b c (Å): 3.9029 3.9029 3.6840
angles (deg): 90.00 90.00 90.00
Last column: nearest neighbours and their distance in Å.
Space group P4/mmm (No. 123)
One atom of each set of equivalent atoms:
Nb 0.0000 0.0000 0.0000 (multiplicity 1)  8 O 2.68, 4 F 2.76
Fe 0.5000 0.5000 0.5000 (multiplicity 1)  2 F 1.84, 4 O 1.95
O 0.0000 0.5000 0.5000 (multiplicity 2)  2 Fe 1.95
F 0.5000 0.5000 0.0000 (multiplicity 1)  2 Fe 1.84